Here is a relaxed CsBeF3 crystal from the Alexandria database. Energies are from PBE.

For the energy relative to the lowest polymorph listed for this composition, the calculation gives 662 meV per atom. The mass density comes out at 5.0 Mg/m³. The uncorrected formation energy is -2502 meV/atom. The space group is Pm-3m. The total magnetization is 0.00 Bohr magnetons per cell.

abc: 4.032 4.032 4.032
angles: 90.00 90.00 90.00
Sites, in units of the cell vectors:
Cs 0.000 0.000 0.000
Be 0.500 0.500 0.500
F 0.000 0.500 0.500
F 0.500 0.000 0.500
F 0.500 0.500 0.000

***

Here is a relaxed CsBe2F crystal from the Alexandria database. Energies are from PBE.

The mass density comes out at 2.4 Mg/m³. The uncorrected formation energy is 786 meV/atom. The space group is Fm-3m. The total magnetization is 0.00 Bohr magnetons per cell.

abc: 7.736 7.736 7.736
angles: 90.00 90.00 90.00
Sites, in units of the cell vectors:
Cs 0.000 0.000 0.000
Cs 0.000 0.500 0.500
Cs 0.500 0.000 0.500
Cs 0.500 0.500 0.000
Be 0.250 0.250 0.250
Be 0.250 0.250 0.750
Be 0.250 0.750 0.250
Be 0.250 0.750 0.750
Be 0.750 0.250 0.250
Be 0.750 0.250 0.750
Be 0.750 0.750 0.250
Be 0.750 0.750 0.750
F 0.000 0.000 0.500
F 0.000 0.500 0.000
F 0.500 0.000 0.000
F 0.500 0.500 0.500

***

Here is a relaxed Cs2BeF5 crystal from the Alexandria database. Energies are from PBE.

The mass density comes out at 3.5 Mg/m³. The uncorrected formation energy is -2587 meV/atom. The space group is Fmm2. The total magnetization is 1.08 Bohr magnetons per cell.

abc: 6.272 6.270 6.324
angles: 59.73 59.71 60.56
Sites, in units of the cell vectors:
Cs 0.000 0.000 0.500
Cs 0.500 0.500 0.000
Be 0.289 0.289 0.711
F 0.054 0.419 0.946
F 0.055 0.421 0.579
F 0.419 0.054 0.581
F 0.421 0.055 0.945
F 0.467 0.467 0.533

***

Here is a relaxed CsBeF2 crystal from the Alexandria database. Energies are from PBE.

For the energy relative to the lowest polymorph listed for this composition, the calculation gives 291 meV per atom. The mass density comes out at 4.0 Mg/m³. The uncorrected formation energy is -1842 meV/atom. The space group is Fd-3m. The total magnetization is 0.00 Bohr magnetons per cell.

abc: 5.941 5.941 5.941
angles: 60.00 60.00 60.00
Sites, in units of the cell vectors:
Cs 0.125 0.125 0.125
Cs 0.875 0.875 0.875
Be 0.375 0.375 0.375
Be 0.625 0.625 0.625
F 0.000 0.500 0.500
F 0.500 0.000 0.500
F 0.500 0.500 0.000
F 0.500 0.500 0.500

***

Here is a relaxed CsBeF3 crystal from the Alexandria database. Energies are from PBE.

For the energy relative to the lowest polymorph listed for this composition, the calculation gives 0 meV per atom. The mass density comes out at 3.4 Mg/m³. The uncorrected formation energy is -3164 meV/atom. The space group is Pnma. The total magnetization is 0.15 Bohr magnetons per cell.

abc: 4.883 6.120 12.955
angles: 90.00 90.00 90.00
Sites, in units of the cell vectors:
Cs 0.239 0.250 0.101
Cs 0.261 0.750 0.601
Cs 0.739 0.250 0.399
Cs 0.761 0.750 0.899
Be 0.193 0.750 0.321
Be 0.307 0.250 0.821
Be 0.693 0.750 0.179
Be 0.807 0.250 0.679
F 0.124 0.250 0.718
F 0.242 0.540 0.382
F 0.242 0.960 0.382
F 0.258 0.040 0.882
F 0.258 0.460 0.882
F 0.376 0.750 0.218
F 0.624 0.250 0.782
F 0.742 0.540 0.118
F 0.742 0.960 0.118
F 0.758 0.040 0.618
F 0.758 0.460 0.618
F 0.876 0.750 0.282

***

Here is a relaxed Cs3BeF5 crystal from the Alexandria database. Energies are from PBE.

The mass density comes out at 4.3 Mg/m³. The uncorrected formation energy is -2978 meV/atom. The space group is I4/mcm. The total magnetization is 0.13 Bohr magnetons per cell.

abc: 8.256 8.256 8.256
angles: 121.35 121.35 87.67
Sites, in units of the cell vectors:
Cs 0.182 0.682 0.865
Cs 0.250 0.250 0.000
Cs 0.318 0.182 0.500
Cs 0.682 0.818 0.500
Cs 0.750 0.750 0.000
Cs 0.818 0.318 0.135
Be 0.250 0.750 0.500
Be 0.750 0.250 0.500
F 0.000 0.000 0.000
F 0.060 0.784 0.500
F 0.216 0.716 0.276
F 0.284 0.560 0.500
F 0.440 0.940 0.724
F 0.500 0.500 0.000
F 0.560 0.060 0.276
F 0.716 0.440 0.500
F 0.784 0.284 0.724
F 0.940 0.216 0.500

***

Here is a relaxed CsBeF2 crystal from the Alexandria database. Energies are from PBE.

For the energy relative to the lowest polymorph listed for this composition, the calculation gives 1125 meV per atom. The mass density comes out at 4.0 Mg/m³. The uncorrected formation energy is -1008 meV/atom. The space group is Fm-3m. The total magnetization is 4.00 Bohr magnetons per cell.

abc: 6.707 6.707 6.707
angles: 90.00 90.00 90.00
Sites, in units of the cell vectors:
Cs 0.000 0.000 0.000
Cs 0.000 0.500 0.500
Cs 0.500 0.000 0.500
Cs 0.500 0.500 0.000
Be 0.000 0.000 0.500
Be 0.000 0.500 0.000
Be 0.500 0.000 0.000
Be 0.500 0.500 0.500
F 0.250 0.250 0.250
F 0.250 0.250 0.750
F 0.250 0.750 0.250
F 0.250 0.750 0.750
F 0.750 0.250 0.250
F 0.750 0.250 0.750
F 0.750 0.750 0.250
F 0.750 0.750 0.750

***

Here is a relaxed CsBeF2 crystal from the Alexandria database. Energies are from PBE.

For the energy relative to the lowest polymorph listed for this composition, the calculation gives 0 meV per atom. The mass density comes out at 2.6 Mg/m³. The uncorrected formation energy is -2133 meV/atom. The space group is R-3m. The total magnetization is 0.00 Bohr magnetons per cell.

abc: 4.625 4.625 18.375
angles: 90.00 90.00 120.00
Sites, in units of the cell vectors:
Cs 0.000 0.000 0.000
Cs 0.333 0.667 0.667
Cs 0.667 0.333 0.333
Be 0.000 0.000 0.500
Be 0.333 0.667 0.167
Be 0.667 0.333 0.833
F 0.000 0.000 0.421
F 0.000 0.000 0.579
F 0.333 0.667 0.088
F 0.333 0.667 0.246
F 0.667 0.333 0.754
F 0.667 0.333 0.912

***

Here is a relaxed CsBeF3 crystal from the Alexandria database. Energies are from PBE.

For the energy relative to the lowest polymorph listed for this composition, the calculation gives 28 meV per atom. The mass density comes out at 3.6 Mg/m³. The uncorrected formation energy is -3136 meV/atom. The space group is Cmcm. The total magnetization is 0.30 Bohr magnetons per cell.

abc: 8.438 8.438 5.210
angles: 90.00 90.00 96.81
Sites, in units of the cell vectors:
Cs 0.119 0.881 0.750
Cs 0.343 0.657 0.250
Cs 0.657 0.343 0.750
Cs 0.881 0.119 0.250
Be 0.198 0.346 0.750
Be 0.346 0.198 0.250
Be 0.654 0.802 0.750
Be 0.802 0.654 0.250
F 0.040 0.239 0.750
F 0.190 0.525 0.750
F 0.239 0.040 0.250
F 0.304 0.304 0.000
F 0.304 0.304 0.500
F 0.475 0.810 0.750
F 0.525 0.190 0.250
F 0.696 0.696 0.000
F 0.696 0.696 0.500
F 0.761 0.960 0.750
F 0.810 0.475 0.250
F 0.960 0.761 0.250

***

Here is a relaxed Cs2Be2F7 crystal from the Alexandria database. Energies are from PBE.

The mass density comes out at 3.5 Mg/m³. The uncorrected formation energy is -2831 meV/atom. The space group is C2/m. The total magnetization is 1.09 Bohr magnetons per cell.

abc: 6.069 6.069 5.392
angles: 92.80 92.80 95.65
Sites, in units of the cell vectors:
Cs 0.241 0.759 0.000
Cs 0.759 0.241 0.000
Be 0.302 0.302 0.454
Be 0.698 0.698 0.546
F 0.098 0.362 0.603
F 0.256 0.256 0.177
F 0.362 0.098 0.603
F 0.500 0.500 0.500
F 0.638 0.902 0.397
F 0.744 0.744 0.823
F 0.902 0.638 0.397

***

Here is a relaxed CsBeGaF6 crystal from the Alexandria database. Energies are from PBE.

The mass density comes out at 3.8 Mg/m³. The uncorrected formation energy is -2834 meV/atom. The space group is P312. The total magnetization is 0.00 Bohr magnetons per cell.

abc: 4.985 4.985 6.589
angles: 90.00 90.00 120.00
Sites, in units of the cell vectors:
Cs 0.000 0.000 0.000
Be 0.333 0.667 0.500
Ga 0.667 0.333 0.500
F 0.020 0.396 0.657
F 0.020 0.624 0.343
F 0.376 0.396 0.343
F 0.376 0.980 0.657
F 0.604 0.624 0.657
F 0.604 0.980 0.343

***

Here is a relaxed CsBe2GaF8 crystal from the Alexandria database. Energies are from PBE.

The mass density comes out at 3.2 Mg/m³. The uncorrected formation energy is -3004 meV/atom. The space group is R-3m. The total magnetization is 0.12 Bohr magnetons per cell.

abc: 8.798 8.798 8.798
angles: 34.53 34.53 34.53
Sites, in units of the cell vectors:
Cs 0.000 0.000 0.000
Be 0.235 0.235 0.235
Be 0.765 0.765 0.765
Ga 0.500 0.500 0.500
F 0.115 0.624 0.624
F 0.295 0.295 0.295
F 0.376 0.376 0.885
F 0.376 0.885 0.376
F 0.624 0.115 0.624
F 0.624 0.624 0.115
F 0.705 0.705 0.705
F 0.885 0.376 0.376

***

Here is a relaxed Cs2BeHgF crystal from the Alexandria database. Energies are from PBE.

The mass density comes out at 4.1 Mg/m³. The uncorrected formation energy is -446 meV/atom. The space group is P4/mmm. The total magnetization is 0.00 Bohr magnetons per cell.

abc: 5.749 5.749 6.033
angles: 90.00 90.00 90.00
Sites, in units of the cell vectors:
Cs 0.000 0.500 0.000
Cs 0.500 0.000 0.000
Be 0.000 0.000 0.500
Hg 0.500 0.500 0.500
F 0.500 0.500 0.000

***

Here is a relaxed CsBe2HgF8 crystal from the Alexandria database. Energies are from PBE.

The mass density comes out at 4.2 Mg/m³. The uncorrected formation energy is -2467 meV/atom. The space group is C2/m. The total magnetization is 1.10 Bohr magnetons per cell.

abc: 4.931 4.931 8.815
angles: 97.67 97.67 69.93
Sites, in units of the cell vectors:
Cs 0.000 0.000 0.000
Be 0.401 0.401 0.703
Be 0.599 0.599 0.297
Hg 0.000 0.000 0.500
F 0.261 0.719 0.306
F 0.271 0.271 0.545
F 0.281 0.739 0.694
F 0.330 0.330 0.851
F 0.670 0.670 0.149
F 0.719 0.261 0.306
F 0.729 0.729 0.455
F 0.739 0.281 0.694

***

Here is a relaxed Cs2BeIF crystal from the Alexandria database. Energies are from PBE.

The mass density comes out at 3.7 Mg/m³. The uncorrected formation energy is -949 meV/atom. The space group is P4/mmm. The total magnetization is 0.00 Bohr magnetons per cell.

abc: 6.398 6.398 4.606
angles: 90.00 90.00 90.00
Sites, in units of the cell vectors:
Cs 0.000 0.500 0.000
Cs 0.500 0.000 0.000
Be 0.000 0.000 0.500
I 0.500 0.500 0.500
F 0.000 0.000 0.000

***

Here is a relaxed Cs4K3BeF8 crystal from the Alexandria database. Energies are from PBE.

The mass density comes out at 3.5 Mg/m³. The uncorrected formation energy is -2453 meV/atom. The space group is C2/m. The total magnetization is 0.00 Bohr magnetons per cell.

abc: 8.290 8.290 8.064
angles: 118.69 118.69 57.08
Sites, in units of the cell vectors:
Cs 0.000 0.000 0.000
Cs 0.000 0.500 0.500
Cs 0.500 0.000 0.500
Cs 0.500 0.500 0.000
K 0.000 0.000 0.500
K 0.000 0.500 0.000
K 0.500 0.000 0.000
Be 0.500 0.500 0.500
F 0.225 0.225 0.196
F 0.237 0.237 0.761
F 0.346 0.648 0.644
F 0.352 0.654 0.356
F 0.648 0.346 0.644
F 0.654 0.352 0.356
F 0.763 0.763 0.239
F 0.775 0.775 0.804

***

Here is a relaxed CsLaBe2F8 crystal from the Alexandria database. Energies are from PBE.

The mass density comes out at 3.5 Mg/m³. The uncorrected formation energy is -3504 meV/atom. The space group is R-3. The total magnetization is 0.12 Bohr magnetons per cell.

abc: 9.060 9.060 9.060
angles: 34.09 34.09 34.09
Sites, in units of the cell vectors:
Cs 0.000 0.000 0.000
La 0.500 0.500 0.500
Be 0.245 0.245 0.245
Be 0.755 0.755 0.755
F 0.062 0.766 0.509
F 0.234 0.491 0.938
F 0.304 0.304 0.304
F 0.491 0.938 0.234
F 0.509 0.062 0.766
F 0.696 0.696 0.696
F 0.766 0.509 0.062
F 0.938 0.234 0.491